Entry from Alexandria: an optimized crystal structure of DyEr7Th2 (PBE).

Results
Mass density, g cm⁻³: 7.630
E above lowest polymorph, eV/atom: 0.7565
Uncorrected energy, eV/f.u.: -43.58
E_form, eV/atom: 0.781

Geometry as POSCAR:
```
DyEr7Th2
1.0
5.4431 0.0000 0.0000
0.0000 9.3500 -0.6804
0.0000 -4.8255 8.0374
Er Th Dy
7 2 1
Cartesian
2.7215 2.3423 0.3410
0.0000 -1.9317 6.2578
2.7215 2.2622 3.6785
2.7215 5.2769 5.1128
2.7215 -0.7524 2.2442
2.7215 2.1822 7.0160
0.0000 6.4562 1.0992
2.7215 5.1685 1.8912
2.7215 -0.6441 5.4659
0.0000 0.0000 0.0000
```